# GGA-PBE Mg6TlHg5, optimized geometry
data_Mg6TlHg5
_symmetry_space_group_name_H-M 'C 1 2/m 1'
_symmetry_Int_Tables_number 12
_symmetry_space_group_name_Hall '-C 2y'
_cell_length_a 4.893
_cell_length_b 14.275
_cell_length_c 7.601
_cell_angle_alpha 90.00
_cell_angle_beta 94.26
_cell_angle_gamma 90.00
loop_
_atom_site_label
_atom_site_fract_x
_atom_site_fract_y
_atom_site_fract_z
Mg1 0.001 0.000 0.239
Mg2 0.004 0.330 0.244
Tl1 0.000 0.500 0.500
Hg1 0.000 0.166 0.500
Hg2 0.000 0.167 0.000
Hg3 0.000 0.500 0.000
# - Volume: 22.06 Å³/atom
# - Magnetic moment: 0.00 μB per formula unit
# - Energy of formation: -205 kJ/mol of formula units